[1]
Compound: Th5Hg2Ru
Source: Alexandria
Functional: GGA-PBE
Structure: optimized geometry

The value obtained for the calculated volume is 553.9 Å³/cell. As for the space group: No. 63. Its crystal system is orthorhombic. Its formation energy is 148 meV per atom.

abc: 8.324 8.324 12.936
angles: 90.00 90.00 141.83
Fractional positions:
Th1 0.084 0.916 0.598
Th2 0.084 0.916 0.902
Th3 0.301 0.699 0.250
Th4 0.309 0.691 0.556
Th5 0.309 0.691 0.944
Th6 0.691 0.309 0.056
Th7 0.691 0.309 0.444
Th8 0.699 0.301 0.750
Th9 0.916 0.084 0.098
Th10 0.916 0.084 0.402
Hg1 0.114 0.886 0.140
Hg2 0.114 0.886 0.360
Hg3 0.886 0.114 0.640
Hg4 0.886 0.114 0.860
Ru1 0.209 0.791 0.750
Ru2 0.791 0.209 0.250

[2]
Compound: Th2HgRu
Source: Alexandria
Functional: GGA-PBE
Structure: optimized geometry

The value obtained for the calculated volume is 113.8 Å³/cell. As for the space group: No. 166. Its crystal system is trigonal. Its formation energy is -406 meV per atom.

abc: 8.256 8.256 8.256
angles: 28.58 28.58 28.58
Fractional positions:
Th1 0.232 0.232 0.232
Th2 0.768 0.768 0.768
Hg1 0.000 0.000 0.000
Ru1 0.500 0.500 0.500

[3]
Compound: Th6HgRu
Source: Alexandria
Functional: GGA-PBE
Structure: optimized geometry

The value obtained for the calculated volume is 251.8 Å³/cell. As for the space group: No. 166. Its crystal system is trigonal. Its formation energy is 45 meV per atom.

abc: 6.466 6.466 6.466
angles: 101.39 101.39 101.39
Fractional positions:
Th1 0.199 0.199 0.600
Th2 0.199 0.600 0.199
Th3 0.400 0.801 0.801
Th4 0.600 0.199 0.199
Th5 0.801 0.400 0.801
Th6 0.801 0.801 0.400
Hg1 0.000 0.000 0.000
Ru1 0.500 0.500 0.500

[4]
Compound: Th2HgRu
Source: Alexandria
Functional: GGA-PBE
Structure: optimized geometry

The value obtained for the calculated volume is 101.6 Å³/cell. As for the space group: No. 123. Its crystal system is tetragonal. Its formation energy is -317 meV per atom.

abc: 3.524 3.524 8.183
angles: 90.00 90.00 90.00
Fractional positions:
Th1 0.000 0.000 0.212
Th2 0.000 0.000 0.788
Hg1 0.500 0.500 0.500
Ru1 0.500 0.500 0.000

[5]
Compound: Th5Hg3Ru
Source: Alexandria
Functional: GGA-PBE
Structure: optimized geometry

The value obtained for the calculated volume is 506.9 Å³/cell. As for the space group: No. 193. Its crystal system is hexagonal. Its formation energy is -275 meV per atom.

abc: 9.641 9.641 6.297
angles: 90.00 90.00 120.00
Fractional positions:
Th1 0.000 0.246 0.250
Th2 0.000 0.754 0.750
Th3 0.246 0.000 0.250
Th4 0.246 0.246 0.750
Th5 0.333 0.667 0.000
Th6 0.333 0.667 0.500
Th7 0.667 0.333 0.000
Th8 0.667 0.333 0.500
Th9 0.754 0.000 0.750
Th10 0.754 0.754 0.250
Hg1 0.000 0.404 0.750
Hg2 0.000 0.596 0.250
Hg3 0.404 0.000 0.750
Hg4 0.404 0.404 0.250
Hg5 0.596 0.000 0.250
Hg6 0.596 0.596 0.750
Ru1 0.000 0.000 0.000
Ru2 0.000 0.000 0.500

[6]
Compound: Th7Hg2Ru2
Source: Alexandria
Functional: GGA-PBE
Structure: optimized geometry

The value obtained for the calculated volume is 327.5 Å³/cell. As for the space group: No. 12. Its crystal system is monoclinic. Its formation energy is -117 meV per atom.

abc: 6.972 6.972 7.066
angles: 90.05 90.05 72.49
Fractional positions:
Th1 0.000 0.000 0.000
Th2 0.000 0.500 0.261
Th3 0.000 0.500 0.739
Th4 0.500 0.000 0.261
Th5 0.500 0.000 0.739
Th6 0.500 0.500 0.240
Th7 0.500 0.500 0.760
Hg1 0.171 0.829 0.500
Hg2 0.829 0.171 0.500
Ru1 0.263 0.263 0.000
Ru2 0.737 0.737 0.000

[7]
Compound: Th2HgRu
Source: Alexandria
Functional: GGA-PBE
Structure: optimized geometry

The value obtained for the calculated volume is 116.0 Å³/cell. As for the space group: No. 164. Its crystal system is trigonal. Its formation energy is -372 meV per atom.

abc: 4.165 4.165 7.721
angles: 90.00 90.00 120.00
Fractional positions:
Th1 0.333 0.667 0.306
Th2 0.667 0.333 0.694
Hg1 0.000 0.000 0.000
Ru1 0.000 0.000 0.500

[8]
Compound: Th4HgRu
Source: Alexandria
Functional: GGA-PBE
Structure: optimized geometry

The value obtained for the calculated volume is 334.4 Å³/cell. As for the space group: No. 124. Its crystal system is tetragonal. Its formation energy is -269 meV per atom.

abc: 7.394 7.394 6.116
angles: 90.00 90.00 90.00
Fractional positions:
Th1 0.144 0.322 0.000
Th2 0.144 0.678 0.500
Th3 0.322 0.144 0.500
Th4 0.322 0.856 0.000
Th5 0.678 0.144 0.000
Th6 0.678 0.856 0.500
Th7 0.856 0.322 0.500
Th8 0.856 0.678 0.000
Hg1 0.500 0.500 0.250
Hg2 0.500 0.500 0.750
Ru1 0.000 0.000 0.250
Ru2 0.000 0.000 0.750

[9]
Compound: Th2HgRu
Source: Alexandria
Functional: GGA-PBE
Structure: optimized geometry

The value obtained for the calculated volume is 114.7 Å³/cell. As for the space group: No. 160. Its crystal system is trigonal. Its formation energy is -377 meV per atom.

abc: 8.122 8.122 8.122
angles: 29.47 29.47 29.47
Fractional positions:
Th1 0.000 0.000 0.000
Th2 0.203 0.203 0.203
Hg1 0.434 0.434 0.434
Ru1 0.601 0.601 0.601

[10]
Compound: Th5HgRu2
Source: Alexandria
Functional: GGA-PBE
Structure: optimized geometry

The value obtained for the calculated volume is 427.4 Å³/cell. As for the space group: No. 140. Its crystal system is tetragonal. Its formation energy is -355 meV per atom.

abc: 8.850 8.850 8.850
angles: 127.09 127.09 78.11
Fractional positions:
Th1 0.000 0.000 0.000
Th2 0.021 0.521 0.819
Th3 0.203 0.021 0.500
Th4 0.297 0.797 0.819
Th5 0.479 0.297 0.500
Th6 0.500 0.500 0.000
Th7 0.521 0.703 0.500
Th8 0.703 0.203 0.181
Th9 0.797 0.979 0.500
Th10 0.979 0.479 0.181
Hg1 0.250 0.250 0.000
Hg2 0.750 0.750 0.000
Ru1 0.140 0.360 0.500
Ru2 0.360 0.860 0.220
Ru3 0.640 0.140 0.780
Ru4 0.860 0.640 0.500

[11]
Compound: ThHgRu
Source: Alexandria
Functional: GGA-PBE
Structure: optimized geometry

The value obtained for the calculated volume is 156.8 Å³/cell. As for the space group: No. 166. Its crystal system is trigonal. Its formation energy is 59 meV per atom.

abc: 8.291 8.291 8.291
angles: 33.76 33.76 33.76
Fractional positions:
Th1 0.083 0.083 0.083
Th2 0.917 0.917 0.917
Hg1 0.320 0.320 0.320
Hg2 0.680 0.680 0.680
Ru1 0.184 0.184 0.184
Ru2 0.816 0.816 0.816

[12]
Compound: Th12Hg6Ru
Source: Alexandria
Functional: GGA-PBE
Structure: optimized geometry

The value obtained for the calculated volume is 542.5 Å³/cell. As for the space group: No. 148. Its crystal system is trigonal. Its formation energy is -16 meV per atom.

abc: 8.158 8.158 8.158
angles: 91.30 91.30 91.30
Fractional positions:
Th1 0.026 0.306 0.944
Th2 0.056 0.974 0.694
Th3 0.142 0.362 0.470
Th4 0.306 0.944 0.026
Th5 0.362 0.470 0.142
Th6 0.470 0.142 0.362
Th7 0.530 0.858 0.638
Th8 0.638 0.530 0.858
Th9 0.694 0.056 0.974
Th10 0.858 0.638 0.530
Th11 0.944 0.026 0.306
Th12 0.974 0.694 0.056
Hg1 0.232 0.761 0.387
Hg2 0.239 0.613 0.768
Hg3 0.387 0.232 0.761
Hg4 0.613 0.768 0.239
Hg5 0.761 0.387 0.232
Hg6 0.768 0.239 0.613
Ru1 0.500 0.500 0.500

[13]
Compound: Th4HgRu
Source: Alexandria
Functional: GGA-PBE
Structure: optimized geometry

The value obtained for the calculated volume is 379.6 Å³/cell. As for the space group: No. 14. Its crystal system is monoclinic. Its formation energy is -35 meV per atom.

abc: 7.259 7.449 7.068
angles: 90.00 96.74 90.00
Fractional positions:
Th1 0.143 0.164 0.192
Th2 0.143 0.336 0.692
Th3 0.337 0.638 0.097
Th4 0.337 0.862 0.597
Th5 0.663 0.138 0.403
Th6 0.663 0.362 0.903
Th7 0.857 0.664 0.308
Th8 0.857 0.836 0.808
Hg1 0.500 0.000 0.000
Hg2 0.500 0.500 0.500
Ru1 0.000 0.000 0.500
Ru2 0.000 0.500 0.000

[14]
Compound: Th2TlHgRu
Source: Alexandria
Functional: GGA-PBE
Structure: optimized geometry

The value obtained for the calculated volume is 269.0 Å³/cell. As for the space group: No. 11. Its crystal system is monoclinic. Its formation energy is -305 meV per atom.

abc: 8.494 4.005 8.501
angles: 90.00 111.57 90.00
Fractional positions:
Th1 0.003 0.250 0.276
Th2 0.342 0.250 0.103
Th3 0.658 0.750 0.897
Th4 0.997 0.750 0.724
Tl1 0.303 0.250 0.698
Tl2 0.697 0.750 0.302
Hg1 0.354 0.750 0.446
Hg2 0.646 0.250 0.554
Ru1 0.118 0.750 0.115
Ru2 0.882 0.250 0.885

[15]
Compound: YThHgRu
Source: Alexandria
Functional: GGA-PBE
Structure: optimized geometry

The value obtained for the calculated volume is 96.4 Å³/cell. As for the space group: No. 216. Its crystal system is cubic. Its formation energy is -282 meV per atom.

abc: 5.146 5.146 5.146
angles: 60.00 60.00 60.00
Fractional positions:
Y1 0.000 0.000 0.000
Th1 0.500 0.500 0.500
Hg1 0.750 0.750 0.750
Ru1 0.250 0.250 0.250

[16]
Compound: Ti3HgRu
Source: Alexandria
Functional: GGA-PBE
Structure: optimized geometry

The value obtained for the calculated volume is 115.0 Å³/cell. As for the space group: No. 221. Its crystal system is cubic. Its formation energy is 1549 meV per atom.

abc: 4.863 4.863 4.863
angles: 90.00 90.00 90.00
Fractional positions:
Ti1 0.000 0.000 0.500
Ti2 0.000 0.500 0.000
Ti3 0.500 0.000 0.000
Hg1 0.000 0.000 0.000
Ru1 0.500 0.500 0.500

[17]
Compound: Ti2HgRu
Source: Alexandria
Functional: GGA-PBE
Structure: optimized geometry

The value obtained for the calculated volume is 144.7 Å³/cell. As for the space group: No. 122. Its crystal system is tetragonal. Its formation energy is 103 meV per atom.

abc: 5.811 5.811 5.811
angles: 103.19 103.19 122.92
Fractional positions:
Ti1 0.082 0.625 0.957
Ti2 0.375 0.332 0.457
Ti3 0.668 0.125 0.043
Ti4 0.875 0.918 0.543
Hg1 0.250 0.750 0.500
Hg2 0.500 0.500 0.000
Ru1 0.000 0.000 0.000
Ru2 0.750 0.250 0.500

[18]
Compound: Ti2HgRu
Source: Alexandria
Functional: GGA-PBE
Structure: optimized geometry

The value obtained for the calculated volume is 67.2 Å³/cell. As for the space group: No. 123. Its crystal system is tetragonal. Its formation energy is -337 meV per atom.

abc: 3.084 3.084 7.065
angles: 90.00 90.00 90.00
Fractional positions:
Ti1 0.000 0.000 0.215
Ti2 0.000 0.000 0.785
Hg1 0.500 0.500 0.500
Ru1 0.500 0.500 0.000

[19]
Compound: Ti3HgRu
Source: Alexandria
Functional: GGA-PBE
Structure: optimized geometry

The value obtained for the calculated volume is 104.7 Å³/cell. As for the space group: No. 221. Its crystal system is cubic. Its formation energy is 332 meV per atom.

abc: 4.714 4.714 4.714
angles: 90.00 90.00 90.00
Fractional positions:
Ti1 0.000 0.000 0.500
Ti2 0.000 0.500 0.000
Ti3 0.500 0.000 0.000
Hg1 0.500 0.500 0.500
Ru1 0.000 0.000 0.000

[20]
Compound: Tl2HgRu
Source: Alexandria
Functional: GGA-PBE
Structure: optimized geometry

The value obtained for the calculated volume is 90.2 Å³/cell. As for the space group: No. 47. Its crystal system is orthorhombic. Its formation energy is 619 meV per atom.

abc: 3.247 5.074 5.476
angles: 90.00 90.00 90.00
Fractional positions:
Tl1 0.000 0.000 0.000
Tl2 0.500 0.000 0.500
Hg1 0.000 0.500 0.500
Ru1 0.500 0.500 0.000

[21]
Compound: Tl2HgRu
Source: Alexandria
Functional: GGA-PBE
Structure: optimized geometry

The value obtained for the calculated volume is 100.7 Å³/cell. As for the space group: No. 6. Its crystal system is monoclinic. Its formation energy is 337 meV per atom.

abc: 4.484 3.179 7.411
angles: 90.00 107.58 90.00
Fractional positions:
Tl1 0.000 0.000 0.000
Tl2 0.317 0.500 0.632
Hg1 0.678 0.000 0.358
Ru1 0.512 0.500 0.024

[22]
Compound: TlHgRu
Source: Alexandria
Functional: GGA-PBE
Structure: optimized geometry

The value obtained for the calculated volume is 68.0 Å³/cell. As for the space group: No. 216. Its crystal system is cubic. Its formation energy is 608 meV per atom.

abc: 4.581 4.581 4.581
angles: 60.00 60.00 60.00
Fractional positions:
Tl1 0.000 0.000 0.000
Hg1 0.500 0.500 0.500
Ru1 0.750 0.750 0.750

[23]
Compound: Tl2HgRu
Source: Alexandria
Functional: GGA-PBE
Structure: optimized geometry

The value obtained for the calculated volume is 91.5 Å³/cell. As for the space group: No. 10. Its crystal system is monoclinic. Its formation energy is 537 meV per atom.

abc: 3.570 4.422 5.878
angles: 90.00 99.38 90.00
Fractional positions:
Tl1 0.126 0.000 0.269
Tl2 0.874 0.000 0.731
Hg1 0.500 0.500 0.000
Ru1 0.500 0.500 0.500

[24]
Compound: Tl2HgRu
Source: Alexandria
Functional: GGA-PBE
Structure: optimized geometry

The value obtained for the calculated volume is 189.4 Å³/cell. As for the space group: No. 122. Its crystal system is tetragonal. Its formation energy is 704 meV per atom.

abc: 10.512 10.512 10.512
angles: 156.17 156.17 33.95
Fractional positions:
Tl1 0.105 0.625 0.980
Tl2 0.375 0.355 0.480
Tl3 0.645 0.125 0.020
Tl4 0.875 0.895 0.520
Hg1 0.250 0.750 0.500
Hg2 0.500 0.500 0.000
Ru1 0.000 0.000 0.000
Ru2 0.750 0.250 0.500

[25]
Compound: Tl2HgRu
Source: Alexandria
Functional: GGA-PBE
Structure: optimized geometry

The value obtained for the calculated volume is 97.3 Å³/cell. As for the space group: No. 44. Its crystal system is orthorhombic. Its formation energy is 349 meV per atom.

abc: 7.310 7.310 7.310
angles: 155.29 143.32 44.73
Fractional positions:
Tl1 0.000 0.000 0.000
Tl2 0.687 0.187 0.500
Hg1 0.325 0.825 0.500
Ru1 0.504 0.504 0.000

Table of energy (Ry/atom), in record order: -0.42073; -0.47852; -0.49366; -0.47197; -0.40634; -0.48362; -0.47600; -0.50066; -0.47633; -0.54014; -0.41207; -0.38853; -0.48345; -0.41611; -0.45182; -0.37509; -0.45855; -0.49092; -0.46456; -0.21742; -0.23814; -0.24794; -0.22345; -0.21121; -0.23727